[1]
# AlCr2InO6 PBE+U optimized geometry
data_AlCr2InO6
_chemical_formula_sum 'Al1 Cr2 In1 O6'
_symmetry_space_group_name_H-M 'P 1'
_symmetry_Int_Tables_number 1
_cell_length_a 5.144
_cell_length_b 5.144
_cell_length_c 5.492
_cell_angle_alpha 62.05
_cell_angle_beta 62.06
_cell_angle_gamma 60.02
loop_
_symmetry_equiv_pos_as_xyz
'x,y,z'
loop_
_atom_site_label
_atom_site_fract_x
_atom_site_fract_y
_atom_site_fract_z
_atom_site_occupancy
Al1 0.317 0.317 0.050 1
Cr1 0.519 0.519 0.444 1
Cr2 0.013 0.013 0.962 1
In1 0.805 0.805 0.585 1
O1 0.599 0.237 0.233 1
O2 0.237 0.931 0.233 1
O3 0.931 0.599 0.233 1
O4 0.389 0.710 0.759 1
O5 0.710 0.142 0.759 1
O6 0.142 0.389 0.759 1
# final energy: -7.2059 eV/atom
# spin magnetization: 0.600 μB/atom


[2]
# Na2FeSnF6 PBE+U optimized geometry
data_Na2FeSnF6
_chemical_formula_sum 'Na2 Fe1 Sn1 F6'
_symmetry_space_group_name_H-M 'P 1'
_symmetry_Int_Tables_number 1
_cell_length_a 5.849
_cell_length_b 5.808
_cell_length_c 6.138
_cell_angle_alpha 61.17
_cell_angle_beta 61.18
_cell_angle_gamma 60.07
loop_
_symmetry_equiv_pos_as_xyz
'x,y,z'
loop_
_atom_site_label
_atom_site_fract_x
_atom_site_fract_y
_atom_site_fract_z
_atom_site_occupancy
Na1 0.530 0.527 0.412 1
Na2 0.018 0.025 0.930 1
Fe1 0.320 0.316 0.044 1
Sn1 0.810 0.808 0.569 1
F1 0.587 0.211 0.248 1
F2 0.217 0.961 0.245 1
F3 0.954 0.588 0.251 1
F4 0.405 0.682 0.780 1
F5 0.692 0.132 0.767 1
F6 0.129 0.412 0.768 1
# final energy: -4.8480 eV/atom
# spin magnetization: 0.401 μB/atom


- spin magnetization of number 1 (AlCr2InO6)?
  0.600 μB/atom